# 1
# Er3Zr2ScN6 PBE relaxed
data_Er3Zr2ScN6
_chemical_formula_sum 'Er3 Zr2 Sc1 N6'
_cell_length_a 7.444
_cell_length_b 7.444
_cell_length_c 6.663
_cell_angle_alpha 103.27
_cell_angle_beta 103.27
_cell_angle_gamma 25.78
_space_group_name_H-M_alt 'P 1'
_space_group_IT_number 1
loop_
_space_group_symop_operation_xyz
'x,y,z'
loop_
_atom_site_label
_atom_site_fract_x
_atom_site_fract_y
_atom_site_fract_z
Er1 0.000 0.000 0.000
Er2 0.335 0.335 0.665
Er3 0.665 0.665 0.335
Zr1 0.335 0.335 0.169
Zr2 0.665 0.665 0.831
Sc1 0.000 0.000 0.500
N1 0.164 0.164 0.592
N2 0.169 0.169 0.076
N3 0.496 0.496 0.256
N4 0.504 0.504 0.744
N5 0.831 0.831 0.924
N6 0.836 0.836 0.408
# Energy = -9.06 eV per atom
# Space-group type = C2/m, No. 12
# Raw formation energy = -173.8 kJ per mole of atoms

=====

# 2
# ZrGaPt4 PBE relaxed
data_ZrGaPt4
_chemical_formula_sum 'Zr2 Ga2 Pt8'
_cell_length_a 5.090
_cell_length_b 5.998
_cell_length_c 7.619
_cell_angle_alpha 82.47
_cell_angle_beta 70.50
_cell_angle_gamma 89.50
_space_group_name_H-M_alt 'P 1'
_space_group_IT_number 1
loop_
_space_group_symop_operation_xyz
'x,y,z'
loop_
_atom_site_label
_atom_site_fract_x
_atom_site_fract_y
_atom_site_fract_z
Zr1 0.128 0.250 0.497
Zr2 0.872 0.750 0.503
Ga1 0.000 0.500 0.000
Ga2 0.500 0.000 0.000
Pt1 0.030 0.095 0.194
Pt2 0.271 0.601 0.194
Pt3 0.314 0.578 0.659
Pt4 0.472 0.918 0.342
Pt5 0.528 0.082 0.658
Pt6 0.686 0.422 0.341
Pt7 0.729 0.399 0.806
Pt8 0.970 0.905 0.806
# Energy = -6.57 eV per atom
# Space-group type = P-1, No. 2
# DFT formation energy = -609 meV/atom
# Excess energy over the best structure of this formula in the dataset = 0.1028 eV per atom

=====

# 3
# Ac2PrSb3Pd4 PBE relaxed
data_Ac2PrSb3Pd4
_chemical_formula_sum 'Ac2 Pr1 Sb3 Pd4'
_cell_length_a 4.675
_cell_length_b 4.675
_cell_length_c 11.611
_cell_angle_alpha 90.00
_cell_angle_beta 90.00
_cell_angle_gamma 90.00
_space_group_name_H-M_alt 'P 1'
_space_group_IT_number 1
loop_
_space_group_symop_operation_xyz
'x,y,z'
loop_
_atom_site_label
_atom_site_fract_x
_atom_site_fract_y
_atom_site_fract_z
Ac1 0.000 0.500 0.214
Ac2 0.500 0.000 0.786
Pr1 0.000 0.000 0.500
Sb1 0.000 0.500 0.876
Sb2 0.500 0.000 0.124
Sb3 0.500 0.500 0.500
Pd1 0.000 0.000 0.000
Pd2 0.000 0.500 0.649
Pd3 0.500 0.000 0.351
Pd4 0.500 0.500 0.000
# Energy = -5.54 eV per atom
# Space-group type = P-4m2, No. 115
# Raw formation energy = -89.3 kJ per mole of atoms

=====

Which formula does entry 2 have?
ZrGaPt4